Here is crystalline LiCoAuO3 at its relaxed geometry from the Open Quantum Materials Database. Energies are from PBE with a Hubbard U.

Structure (extended XYZ):
```
24
Lattice="7.440 0.000 0.000 0.000 3.093 0.000 0.000 0.000 11.801" Properties=species:S:1:pos:R:3 pbc="T T T"
O 3.692 1.546 6.975
Au 3.053 0.000 0.909
O 3.748 0.000 4.826
Au 4.387 1.546 10.893
O 5.614 0.000 8.210
O 0.028 1.546 1.075
Co 1.146 1.546 11.324
O 1.826 1.546 3.592
Li 7.236 1.546 9.354
Li 3.516 0.000 8.348
Co 6.294 0.000 0.478
Au 0.667 0.000 6.809
O 7.411 0.000 10.727
O 5.780 1.546 3.040
O 5.380 1.546 8.940
O 2.060 0.000 2.861
Co 4.866 0.000 6.378
Au 6.773 1.546 4.992
O 1.894 1.546 9.492
Li 3.923 1.546 3.453
O 5.546 0.000 2.309
O 1.660 0.000 8.762
Li 0.203 0.000 2.448
Co 2.574 1.546 5.423
```

- Energy: -109.82 eV per cell